Entry 1:
The following is a DFT calculation (GGA-PBEsol) of a relaxed structure of Ca2ZrZn.

The structure in CIF format:
```
data_Ca2ZrZn
_chemical_formula_sum 'Ca2 Zr1 Zn1'
_cell_length_a 3.326
_cell_length_b 3.326
_cell_length_c 9.125
_cell_angle_alpha 90.00
_cell_angle_beta 90.00
_cell_angle_gamma 90.00
_space_group_name_H-M_alt 'P 4/m m m'
_space_group_IT_number 123
_space_group_name_Hall '-P 4 2'
loop_
_atom_site_label
_atom_site_type_symbol
_atom_site_fract_x
_atom_site_fract_y
_atom_site_fract_z
Ca1 Ca 0.000 0.000 0.220
Zr1 Zr 0.500 0.500 0.500
Zn1 Zn 0.500 0.500 0.000
```

final energy = -3.58 eV/atom
calculated volume = 100.9 Å³/cell
DFT formation energy = 0.157 eV/atom

---

Entry 2:
The following is a DFT calculation (GGA-PBEsol) of a relaxed structure of Sr2MnGaO5.

The structure in CIF format:
```
data_Sr2MnGaO5
_chemical_formula_sum 'Sr16 Mn8 Ga8 O40'
_cell_length_a 7.670
_cell_length_b 7.781
_cell_length_c 15.991
_cell_angle_alpha 90.00
_cell_angle_beta 90.00
_cell_angle_gamma 90.00
_space_group_name_H-M_alt 'F m m m'
_space_group_IT_number 69
_space_group_name_Hall '-F 2 2'
loop_
_atom_site_label
_atom_site_type_symbol
_atom_site_fract_x
_atom_site_fract_y
_atom_site_fract_z
Sr1 Sr 0.000 0.236 0.141
Mn1 Mn 0.250 0.000 0.250
Ga1 Ga 0.182 0.000 0.500
O1 O 0.000 0.000 0.257
O2 O 0.000 0.170 0.500
O3 O 0.226 0.000 0.107
O4 O 0.250 0.250 0.250
```

final energy = -7.09 eV/atom
calculated volume = 954.4 Å³/cell
ΔE_f (raw) = -2308.9 meV/atom

---

Entry 3:
The following is a DFT calculation (GGA-PBEsol) of a relaxed structure of BaBrCl.

The structure in CIF format:
```
data_BaBrCl
_chemical_formula_sum 'Ba4 Br4 Cl4'
_cell_length_a 7.463
_cell_length_b 7.463
_cell_length_c 7.463
_cell_angle_alpha 90.00
_cell_angle_beta 90.00
_cell_angle_gamma 90.00
_space_group_name_H-M_alt 'F -4 3 m'
_space_group_IT_number 216
_space_group_name_Hall 'F -4 2 3'
loop_
_atom_site_label
_atom_site_type_symbol
_atom_site_fract_x
_atom_site_fract_y
_atom_site_fract_z
Ba1 Ba 0.000 0.000 0.000
Br1 Br 0.250 0.250 0.250
Cl1 Cl 0.250 0.250 0.750
```

final energy = -4.37 eV/atom
calculated volume = 415.6 Å³/cell
ΔE_f (raw) = -2362.8 meV/atom

---

Entry 4:
The following is a DFT calculation (GGA-PBEsol) of a relaxed structure of Li2VF5.

The structure in CIF format:
```
data_Li2VF5
_chemical_formula_sum 'Li8 V4 F20'
_cell_length_a 10.004
_cell_length_b 5.060
_cell_length_c 7.058
_cell_angle_alpha 90.00
_cell_angle_beta 111.39
_cell_angle_gamma 90.00
_space_group_name_H-M_alt 'C 1 2/c 1'
_space_group_IT_number 15
loop_
_space_group_symop_operation_xyz
'x,y,z'
'-x,-y,-z'
'-x,y,-z+1/2'
'x,-y,z+1/2'
'x+1/2,y+1/2,z'
'-x+1/2,-y+1/2,-z'
'-x+1/2,y+1/2,-z+1/2'
'x+1/2,-y+1/2,z+1/2'
loop_
_atom_site_label
_atom_site_type_symbol
_atom_site_fract_x
_atom_site_fract_y
_atom_site_fract_z
Li1 Li 0.135 0.018 0.228
V1 V 0.000 0.500 0.000
F1 F 0.000 0.323 0.750
F2 F 0.082 0.173 0.452
F3 F 0.184 0.357 0.146
```

final energy = -5.81 eV/atom
calculated volume = 332.6 Å³/cell
ΔE_f (raw) = -2913.3 meV/atom